(1)
A relaxed structure of LiBeAu3. Source: the Alexandria database, functional PBE.

Calculated values
Excess energy over the best structure of this formula in the dataset (eV per atom): 0.000
Energy relative to the elements (eV per atom): -0.30

Cell: 5.377 4.254 7.016 Å, 90.00 109.90 90.00°
Fractional coordinates of all 10 atoms:
Li  0.105  0.250  0.319
Li  0.895  0.750  0.681
Be  0.496  0.250  0.114
Be  0.504  0.750  0.886
Au  0.207  0.750  0.079
Au  0.224  0.250  0.764
Au  0.337  0.750  0.530
Au  0.663  0.250  0.470
Au  0.776  0.750  0.236
Au  0.793  0.250  0.921



(2)
A relaxed structure of LiBe2Au. Source: the Alexandria database, functional PBE.

Calculated values
Excess energy over the best structure of this formula in the dataset (eV per atom): 0.233
Energy relative to the elements (eV per atom): 0.03

Cell: 2.633 4.034 4.644 Å, 90.00 98.64 90.00°
Fractional coordinates of all 4 atoms:
Li  0.000  0.000  0.000
Be  0.251  0.500  0.755
Be  0.749  0.500  0.245
Au  0.500  0.000  0.500